First-principles (PBE+U) data for crystalline CrGePdO at its relaxed geometry, as listed in the Alexandria database.

abc: 9.602 3.021 4.986
angles: 90.00 119.09 90.00
Space group Cm (No. 8)
Symmetry-distinct sites (fractional):
Cr (0.000, 0.000, 0.000)
Ge (0.225, 0.000, 0.657)
Pd (0.488, 0.000, 0.491)
O (0.227, 0.000, 0.287)

## Properties
Density in kg/m³: 6491
ΔE to the lowest computed polymorph in eV/atom: 0.319